Record 1
This record from the Alexandria database describes an optimized crystal structure of ReC3I. The functional is PBE-GGA.

Results
raw formation energy	3.79	eV/atom
DOS at the Fermi energy	2.11	states/eV per cell
ΔE to the lowest computed polymorph	826	kJ/mol of formula units

Unit cell a=4.0544 b=4.0544 c=4.0544 alpha=90.00 beta=90.00 gamma=90.00
Each line ends with the local moment (μB).
Atoms (fractional coordinates):
1 C 0.0000 0.5000 0.0000  -0.16
2 C 0.5000 0.0000 0.0000  -0.11
3 C 0.0000 0.0000 0.5000  -0.14
4 Re 0.5000 0.5000 0.5000  2.33
5 I 0.0000 0.0000 0.0000  0.03

***

Record 2
This record from the Alexandria database describes an optimized crystal structure of ReSb2CI. The functional is PBE-GGA.

Results
raw formation energy	1.74	eV/atom
DOS at the Fermi energy	4.23	states/eV per cell
ΔE to the lowest computed polymorph	0	kJ/mol of formula units

Unit cell a=4.5673 b=4.5673 c=4.7658 alpha=90.00 beta=90.00 gamma=90.00
Each line ends with the local moment (μB).
Atoms (fractional coordinates):
1 Sb 0.0000 0.5000 0.0000  -0.02
2 Sb 0.5000 0.0000 0.0000  -0.02
3 Re 0.5000 0.5000 0.5000  0.75
4 C 0.0000 0.0000 0.0000  -0.01
5 I 0.0000 0.0000 0.5000  -0.03